Record 1
Computed, not measured: a geometry-optimized SrPmMgTl structure at the PBE-GGA level of DFT. Values from VASP.

Computed properties:
Energy relative to the elements = -0.22 eV/atom
Symmetry = F-43m
Total energy = -11.3 eV/cell
E above lowest polymorph = 1.7 kJ per mole of atoms
Fermi-level density of states = 2.54 states/eV/f.u.

The structure in Quantum ESPRESSO input format:
```
&SYSTEM
  ibrav = 0, nat = 4, ntyp = 4
/
ATOMIC_SPECIES
Sr 87.62 Sr.upf
Tl 204.38 Tl.upf
Mg 24.30 Mg.upf
Pm 145.00 Pm.upf
CELL_PARAMETERS angstrom
5.633 0.000 0.000
2.816 4.878 0.000
2.816 1.626 4.599
ATOMIC_POSITIONS crystal
Sr 0.750 0.750 0.750
Tl 0.000 0.000 0.000
Mg 0.500 0.500 0.500
Pm 0.250 0.250 0.250
```



Record 2
Computed, not measured: a geometry-optimized SrPmTmMg structure at the PBE-GGA level of DFT. Values from VASP.

Computed properties:
Energy relative to the elements = 0.14 eV/atom
Symmetry = F-43m
Total energy = -12.0 eV/cell
Fermi-level density of states = 3.13 states/eV/f.u.

The structure in Quantum ESPRESSO input format:
```
&SYSTEM
  ibrav = 0, nat = 4, ntyp = 4
/
ATOMIC_SPECIES
Sr 87.62 Sr.upf
Mg 24.30 Mg.upf
Tm 168.93 Tm.upf
Pm 145.00 Pm.upf
CELL_PARAMETERS angstrom
5.749 0.000 0.000
2.874 4.978 0.000
2.874 1.659 4.694
ATOMIC_POSITIONS crystal
Sr 0.750 0.750 0.750
Mg 0.000 0.000 0.000
Tm 0.500 0.500 0.500
Pm 0.250 0.250 0.250
```



Record 3
Computed, not measured: a geometry-optimized SrPmMgZn structure at the PBE-GGA level of DFT. Values from VASP.

Computed properties:
Energy relative to the elements = -0.09 eV/atom
Symmetry = F-43m
Total energy = -9.6 eV/cell
Fermi-level density of states = 2.52 states/eV/f.u.

The structure in Quantum ESPRESSO input format:
```
&SYSTEM
  ibrav = 0, nat = 4, ntyp = 4
/
ATOMIC_SPECIES
Sr 87.62 Sr.upf
Zn 65.41 Zn.upf
Mg 24.30 Mg.upf
Pm 145.00 Pm.upf
CELL_PARAMETERS angstrom
-4.241 1.039 3.334
-2.091 -4.012 3.117
0.741 0.081 5.443
ATOMIC_POSITIONS crystal
Sr 0.250 0.250 0.250
Zn 0.000 0.000 0.000
Mg 0.500 0.500 0.500
Pm 0.750 0.750 0.750
```



Record 4
Computed, not measured: a geometry-optimized Pm2MgTa structure at the PBE-GGA level of DFT. Values from VASP.

Computed properties:
Energy relative to the elements = 0.60 eV/atom
Symmetry = R-3m
Total energy = -20.5 eV/cell
Fermi-level density of states = 6.40 states/eV/f.u.

The structure in Quantum ESPRESSO input format:
```
&SYSTEM
  ibrav = 0, nat = 4, ntyp = 3
/
ATOMIC_SPECIES
Mg 24.30 Mg.upf
Pm 145.00 Pm.upf
Ta 180.95 Ta.upf
CELL_PARAMETERS angstrom
-0.102 -0.069 -3.181
0.670 -2.696 -1.556
-11.386 -4.054 -1.139
ATOMIC_POSITIONS crystal
Mg 0.500 0.500 0.500
Pm 0.083 0.083 0.750
Pm 0.917 0.917 0.250
Ta 0.000 0.000 0.000
```